Record 1
A geometry-optimized Pm3Dy3Cd structure, computed with PBE.

The calculation puts the formation energy from the elements at -0.0386 eV per atom. Its total DFT energy (no corrections) is -29.2 eV per formula unit. The total magnetic moment comes out at 0.001 μB/cell. As for the space group: No. 176.

abc: 9.5004 9.5004 5.5800
angles: 90.00 90.00 120.00
Fractional coordinates of all 14 atoms:
Pm 0.1066 0.4755 0.2500
Pm 0.3689 0.8934 0.2500
Pm 0.4755 0.3689 0.7500
Pm 0.5245 0.6311 0.2500
Pm 0.6311 0.1066 0.7500
Pm 0.8934 0.5245 0.7500
Dy 0.0590 0.2386 0.7500
Dy 0.1796 0.9410 0.7500
Dy 0.2386 0.1796 0.2500
Dy 0.7614 0.8204 0.7500
Dy 0.8204 0.0590 0.2500
Dy 0.9410 0.7614 0.2500
Cd 0.3333 0.6667 0.7500
Cd 0.6667 0.3333 0.2500

---

Record 2
A geometry-optimized PmDyCdPt structure, computed with PBE.

The calculation puts the formation energy from the elements at -0.6806 eV per atom. Its total DFT energy (no corrections) is -19.0 eV per formula unit. The total magnetic moment comes out at 0.000 μB/cell. As for the space group: No. 216.

abc: 7.2956 7.2956 7.2956
angles: 90.00 90.00 90.00
Fractional coordinates of all 16 atoms:
Pm 0.0000 0.0000 0.0000
Pm 0.0000 0.5000 0.5000
Pm 0.5000 0.0000 0.5000
Pm 0.5000 0.5000 0.0000
Dy 0.0000 0.0000 0.5000
Dy 0.0000 0.5000 0.0000
Dy 0.5000 0.0000 0.0000
Dy 0.5000 0.5000 0.5000
Cd 0.2500 0.2500 0.7500
Cd 0.2500 0.7500 0.2500
Cd 0.7500 0.2500 0.2500
Cd 0.7500 0.7500 0.7500
Pt 0.2500 0.2500 0.2500
Pt 0.2500 0.7500 0.7500
Pt 0.7500 0.2500 0.7500
Pt 0.7500 0.7500 0.2500